First-principles (PBE-GGA) data for ScCu2Ir after structural relaxation, as listed in Alexandria via LeMat-Bulk.

a b c (Å): 3.7038 3.7038 18.7425
angles (deg): 90.00 90.00 90.00
Space group I-42d (No. 122)
Asymmetric unit:
Sc 0.0000 0.0000 0.0000
Cu 0.2165 0.2500 0.6250
Ir 0.0000 0.0000 0.5000

The calculation puts the formation enthalpy at 0 K at -0.275 eV per formula unit. Its total energy is -5.91 eV per atom.

=====

First-principles (PBE-GGA) data for BTe2MoN after structural relaxation, as listed in Alexandria via LeMat-Bulk.

a b c (Å): 5.6227 5.6227 2.8117
angles (deg): 90.00 90.00 90.00
Space group P4/mmm (No. 123)
Asymmetric unit:
B 0.0000 0.0000 0.0000
Te 0.0000 0.5000 0.0000
Mo 0.5000 0.5000 0.5000
N 0.0000 0.0000 0.5000

Its total energy is -5.77 eV per atom. For the formation energy without anion corrections, the calculation gives 0.65 eV/atom.

=====

First-principles (PBE-GGA) data for Sr2YAl2 after structural relaxation, as listed in Alexandria via LeMat-Bulk.

a b c (Å): 9.4675 9.4675 3.4552
angles (deg): 90.00 90.00 90.00
Space group P4/mbm (No. 127)
Asymmetric unit:
Sr 0.1257 0.3743 0.0000
Y 0.0000 0.0000 0.0000
Al 0.1739 0.6739 0.5000

The calculation puts the formation enthalpy at 0 K at 0.664 eV per formula unit. Its total energy is -3.33 eV per atom.